1.
Below is ThNbSi2W after structural relaxation, with properties calculated at the PBE level.

Structure (extended XYZ):
```
10
Lattice="4.073 0.000 0.000 0.000 4.073 0.000 0.000 0.000 11.481" Properties=species:S:1:pos:R:3 pbc="T T T"
Th 0.000 0.000 0.000
Th 2.036 2.036 5.740
Nb 0.000 2.036 8.611
Nb 2.036 0.000 2.870
Si 0.000 0.000 4.513
Si 0.000 0.000 6.968
Si 2.036 2.036 1.228
Si 2.036 2.036 10.253
W 0.000 2.036 2.870
W 2.036 0.000 8.611
```

Space group: No. 119
Total magnetic moment: 0.0 μB/f.u.
V: 19.04 Å³ per atom

2.
Below is CaTmHg2 after structural relaxation, with properties calculated at the PBE level.

Structure (extended XYZ):
```
16
Lattice="7.437 0.000 0.000 0.000 7.437 0.000 0.000 0.000 7.437" Properties=species:S:1:pos:R:3 pbc="T T T"
Ca 0.000 0.000 0.000
Ca 0.000 3.718 3.718
Ca 3.718 0.000 3.718
Ca 3.718 3.718 0.000
Tm 0.000 0.000 3.718
Tm 0.000 3.718 0.000
Tm 3.718 0.000 0.000
Tm 3.718 3.718 3.718
Hg 1.859 1.859 1.859
Hg 1.859 1.859 5.578
Hg 1.859 5.578 1.859
Hg 1.859 5.578 5.578
Hg 5.578 1.859 1.859
Hg 5.578 1.859 5.578
Hg 5.578 5.578 1.859
Hg 5.578 5.578 5.578
```

Space group: No. 225
Total magnetic moment: 0.0 μB/f.u.
V: 25.71 Å³ per atom

3.
Below is TaZn2Pd after structural relaxation, with properties calculated at the PBE level.

Structure (extended XYZ):
```
4
Lattice="2.893 0.000 0.000 0.000 2.893 0.000 0.000 0.000 7.327" Properties=species:S:1:pos:R:3 pbc="T T T"
Ta 0.000 0.000 0.000
Zn 1.447 1.447 1.958
Zn 1.447 1.447 5.369
Pd 0.000 0.000 3.664
```

Space group: No. 123
Total magnetic moment: 0.0 μB/f.u.
V: 15.33 Å³ per atom

Computed calculated total energy, in the same sequence as the records: -43.88; -9.15; -20.48 eV per formula unit.